[1]
Computed, not measured: LiPBr2 at its PBEsol-relaxed geometry at the meta-GGA SCAN level of DFT.

a = 3.606 Å, b = 3.728 Å, c = 7.026 Å
α = 90.00°, β = 90.00°, γ = 90.00°
Space group Pmmm (No. 47)
Asymmetric unit:
Li (0.000, 0.000, 0.000)
P (0.500, 0.000, 0.500)
Br (0.000, 0.500, 0.500)
Br (0.500, 0.500, 0.000)

total moment = 0.081 μB per cell
ΔE_f (raw) = -0.277 eV per atom
DFT total energy = -13.20 eV per atom
theoretical density = 3.48 g/cm³

***

[2]
Computed, not measured: LiPBr2 at its PBEsol-relaxed geometry at the meta-GGA SCAN level of DFT.

a = 7.050 Å, b = 7.050 Å, c = 7.050 Å
α = 90.00°, β = 90.00°, γ = 90.00°
Space group F-43m (No. 216)
Asymmetric unit:
Li (0.000, 0.000, 0.000)
P (0.250, 0.250, 0.750)
Br (0.000, 0.000, 0.500)
Br (0.250, 0.250, 0.250)

total moment = 7.982 μB per cell
ΔE_f (raw) = 0.355 eV per atom
DFT total energy = -12.57 eV per atom
theoretical density = 3.75 g/cm³

***

[3]
Computed, not measured: LiPBr2 at its PBEsol-relaxed geometry at the meta-GGA SCAN level of DFT.

a = 3.4072 Å, b = 3.4072 Å, c = 23.5933 Å
α = 90.00°, β = 90.00°, γ = 120.00°
Space group R-3m (No. 166, hexagonal axes)
Asymmetric unit:
Li (0.0000, 0.0000, 0.0000)
P (0.0000, 0.0000, 0.5000)
Br (0.0000, 0.0000, 0.2615)

total moment = 0.012 μB per cell
ΔE_f (raw) = -0.094 eV per atom
DFT total energy = -13.02 eV per atom
theoretical density = 4.15 g/cm³